# 1
Below is crystalline ZrNiBi at its relaxed geometry, with properties calculated at the PBE-GGA level.

The space group is Pmma (No. 51) and the conventional cell measures 4.0097, 3.3543 and 10.1590 Å, with angles of 90.00, 90.00 and 90.00 degrees. The inequivalent atoms are Zr at (0.2500, 0.0000, 0.1411), Ni at (0.2500, 0.5000, 0.9304) and Bi at (0.2500, 0.5000, 0.6592).

As for the crystal system: orthorhombic. Its density is 8.723 g/cm³.

---

# 2
Below is crystalline ZrNi3Bi at its relaxed geometry, with properties calculated at the PBE-GGA level.

The space group is Pm-3m (No. 221) and the conventional cell measures 4.6634, 4.6634 and 4.6634 Å, with angles of 90.00, 90.00 and 90.00 degrees. The inequivalent atoms are Zr at (0.0000, 0.0000, 0.0000), Ni at (0.0000, 0.5000, 0.5000) and Bi at (0.5000, 0.5000, 0.5000).

As for the crystal system: cubic. Its density is 7.798 g/cm³.

---

# 3
Below is crystalline Zr6NiBi2 at its relaxed geometry, with properties calculated at the PBE-GGA level.

The space group is P-62m (No. 189) and the conventional cell measures 7.9269, 7.9269 and 3.7134 Å, with angles of 90.00, 90.00 and 120.00 degrees. The inequivalent atoms are Zr at (0.0000, 0.2369, 0.0000), Zr at (0.0000, 0.6066, 0.5000), Ni at (0.0000, 0.0000, 0.5000) and Bi at (0.3333, 0.6667, 0.0000).

As for the crystal system: hexagonal. Its density is 8.415 g/cm³.

---

# 4
Below is crystalline ZrNiBi2 at its relaxed geometry, with properties calculated at the PBE-GGA level.

The space group is I-42d (No. 122) and the conventional cell measures 7.6656, 7.6656 and 6.3872 Å, with angles of 90.00, 90.00 and 90.00 degrees. The inequivalent atoms are Zr at (0.0000, 0.0000, 0.0000), Ni at (0.0000, 0.0000, 0.5000) and Bi at (0.1980, 0.2500, 0.6250).

As for the crystal system: tetragonal. Its density is 10.050 g/cm³.

---

# 5
Below is crystalline ZrNiBi2 at its relaxed geometry, with properties calculated at the PBE-GGA level.

The space group is R-3m (No. 166, hexagonal axes) and the conventional cell measures 3.3903, 3.3903 and 29.4159 Å, with angles of 90.00, 90.00 and 120.00 degrees. The inequivalent atoms are Zr at (0.0000, 0.0000, 0.0000), Ni at (0.0000, 0.0000, 0.5000) and Bi at (0.0000, 0.0000, 0.1030).

As for the crystal system: trigonal. Its density is 9.661 g/cm³.

---

# 6
Below is crystalline Zr2Ni2Bi at its relaxed geometry, with properties calculated at the PBE-GGA level.

The space group is P4/mbm (No. 127) and the conventional cell measures 7.0703, 7.0703 and 3.6622 Å, with angles of 90.00, 90.00 and 90.00 degrees. The inequivalent atoms are Zr at (0.1642, 0.3358, 0.0000), Ni at (0.1223, 0.6223, 0.5000) and Bi at (0.0000, 0.0000, 0.5000).

As for the crystal system: tetragonal. Its density is 9.231 g/cm³.

---

no.,density of states at the Fermi level (states/eV/atom),DFT formation energy (eV/atom)
1,0.60,-0.392
2,0.98,0.880
3,0.88,-0.370
4,0.69,0.119
5,0.72,0.277
6,0.42,-0.393